Record 1
{
  "formula": "MgSiPCl2",
  "functional": "PBE-GGA",
  "state": "relaxed",
  "lattice_angstrom": [[4.660, 0.000, 0.000], [0.000, 4.660, 0.000], [0.000, 0.000, 4.882]],
  "species": ["Cl", "Mg", "P", "Si", "Cl"],
  "frac_coords": [[0.000, 0.500, 0.000], [0.500, 0.500, 0.500], [0.000, 0.000, 0.500], [0.000, 0.000, 0.000], [0.500, 0.000, 0.000]],
  "m_tot_mub_per_fu": 0.0,
  "raw_formation_energy_mev_per_atom": -126,
  "spacegroup": "P4/mmm, No. 123",
  "crystal_system": "tetragonal"
}

Record 2
{
  "formula": "Tb2Nd4HoSc",
  "functional": "PBE-GGA",
  "state": "relaxed",
  "lattice_angstrom": [[5.109, 0.000, 0.000], [0.000, 4.976, 1.103], [0.000, 2.825, 10.814]],
  "species": ["Nd", "Nd", "Tb", "Nd", "Tb", "Nd", "Sc", "Ho"],
  "frac_coords": [[0.500, 0.745, 0.254], [0.000, 0.755, 0.745], [0.500, 0.000, 0.500], [0.000, 0.245, 0.255], [0.000, 0.000, 0.000], [0.500, 0.255, 0.746], [0.000, 0.500, 0.500], [0.500, 0.500, 0.000]],
  "m_tot_mub_per_fu": 0.0,
  "spacegroup": "Pmmm, No. 47",
  "crystal_system": "orthorhombic",
  "e_form_ev_per_atom": 0.028
}

Record 3
{
  "formula": "TbPrTm4S8",
  "functional": "PBE-GGA",
  "state": "relaxed",
  "lattice_angstrom": [[-3.445, 4.530, -5.648], [-7.154, 3.354, 1.363], [-0.560, 7.967, 1.040]],
  "species": ["S", "S", "S", "Tb", "S", "Tm", "Tm", "Tm", "S", "S", "Pr", "Tm", "S", "S"],
  "frac_coords": [[0.757, 0.757, 0.728], [0.753, 0.231, 0.262], [0.787, 0.241, 0.732], [0.999, 0.999, 0.002], [0.241, 0.787, 0.732], [0.999, 0.999, 0.499], [0.503, 0.999, 0.499], [0.626, 0.626, 0.123], [0.753, 0.753, 0.262], [0.241, 0.241, 0.732], [0.374, 0.374, 0.878], [0.999, 0.503, 0.499], [0.231, 0.753, 0.262], [0.236, 0.236, 0.291]],
  "m_tot_mub_per_fu": 0.0,
  "raw_formation_energy_mev_per_atom": -1913,
  "spacegroup": "R3m, No. 160",
  "crystal_system": "trigonal"
}

Record 4
{
  "formula": "AlSiPb2",
  "functional": "PBE-GGA",
  "state": "relaxed",
  "lattice_angstrom": [[-1.047, -0.808, -5.743], [4.601, -1.907, -3.150], [-2.621, -1.629, 5.021]],
  "species": ["Pb", "Si", "Al", "Pb"],
  "frac_coords": [[0.000, 0.000, 0.000], [0.500, 0.500, 0.000], [0.750, 0.250, 0.500], [0.250, 0.750, 0.500]],
  "m_tot_mub_per_fu": 0.0,
  "raw_formation_energy_mev_per_atom": 435,
  "spacegroup": "I-4m2, No. 119",
  "crystal_system": "tetragonal"
}

Record 5
{
  "formula": "LaMn2Cd",
  "functional": "PBE-GGA",
  "state": "relaxed",
  "lattice_angstrom": [[-2.425, 5.534, -0.577], [-5.198, 1.511, 2.745], [5.758, -1.874, 0.406]],
  "species": ["Mn", "La", "Cd", "Mn"],
  "frac_coords": [[0.772, 0.272, 0.500], [0.243, 0.743, 0.500], [0.530, 0.530, 0.000], [0.954, 0.954, 0.000]],
  "m_tot_mub_per_fu": 1.0,
  "spacegroup": "Imm2, No. 44",
  "crystal_system": "orthorhombic",
  "e_form_ev_per_atom": 0.286
}

Record 6
{
  "formula": "AcPr4Sm4",
  "functional": "PBE-GGA",
  "state": "relaxed",
  "lattice_angstrom": [[5.244, 0.000, 0.000], [2.622, 7.873, 0.000], [2.622, 0.000, 7.873]],
  "species": ["Ac", "Sm", "Sm", "Pr", "Pr", "Sm", "Sm", "Pr", "Pr"],
  "frac_coords": [[0.000, 0.000, 0.000], [0.000, 0.663, 0.337], [0.663, 0.337, 0.337], [0.670, 0.000, 0.661], [0.670, 0.661, 0.000], [0.337, 0.663, 0.663], [0.000, 0.337, 0.663], [0.330, 0.339, 0.000], [0.330, 0.000, 0.339]],
  "m_tot_mub_per_fu": 0.0,
  "spacegroup": "I4/mmm, No. 139",
  "crystal_system": "tetragonal",
  "e_form_ev_per_atom": 0.023
}

Record 7
{
  "formula": "Zn2W",
  "functional": "PBE-GGA",
  "state": "relaxed",
  "lattice_angstrom": [[-2.644, -3.298, 2.509], [-4.409, 1.234, 1.792], [-4.078, -1.901, -1.981]],
  "species": ["Zn", "Zn", "W", "Zn", "W", "Zn"],
  "frac_coords": [[0.125, 0.625, 0.625], [0.625, 0.625, 0.125], [0.250, 0.250, 0.250], [0.625, 0.125, 0.625], [0.000, 0.000, 0.000], [0.625, 0.625, 0.625]],
  "m_tot_mub_per_fu": 0.0,
  "spacegroup": "Fd-3m, No. 227",
  "crystal_system": "cubic",
  "e_form_ev_per_atom": 0.157
}

Record 8
{
  "formula": "RbZnP2Au",
  "functional": "PBE-GGA",
  "state": "relaxed",
  "lattice_angstrom": [[-0.420, -3.731, 3.090], [4.835, 0.689, 1.489], [-1.505, 3.049, 3.477]],
  "species": ["Rb", "Au", "Zn", "P", "P"],
  "frac_coords": [[0.500, 0.500, 0.500], [0.000, 0.500, 0.000], [0.000, 0.000, 0.000], [0.500, 0.000, 0.000], [0.000, 0.000, 0.500]],
  "m_tot_mub_per_fu": 0.1,
  "spacegroup": "P4/mmm, No. 123",
  "crystal_system": "tetragonal",
  "e_form_ev_per_atom": 0.402
}

Record 9
{
  "formula": "TaZnAs2",
  "functional": "PBE-GGA",
  "state": "relaxed",
  "lattice_angstrom": [[3.605, 0.000, 0.000], [0.000, 3.605, 0.000], [0.000, 0.000, 5.483]],
  "species": ["Zn", "As", "Ta", "As"],
  "frac_coords": [[0.500, 0.500, 0.787], [0.500, 0.500, 0.320], [0.000, 0.000, 0.460], [0.000, 0.000, 0.933]],
  "m_tot_mub_per_fu": 0.0,
  "spacegroup": "P4mm, No. 99",
  "crystal_system": "tetragonal",
  "e_form_ev_per_atom": -0.057
}

Record 10
{
  "formula": "Tb4Pm2SmSc",
  "functional": "PBE-GGA",
  "state": "relaxed",
  "lattice_angstrom": [[5.026, 0.000, 0.000], [0.000, 4.903, 1.111], [0.000, 2.678, 10.915]],
  "species": ["Sc", "Pm", "Tb", "Tb", "Tb", "Sm", "Tb", "Pm"],
  "frac_coords": [[0.000, 0.500, 0.500], [0.000, 0.000, 0.000], [0.000, 0.757, 0.744], [0.500, 0.744, 0.256], [0.000, 0.243, 0.256], [0.500, 0.500, 0.000], [0.500, 0.256, 0.744], [0.500, 0.000, 0.500]],
  "m_tot_mub_per_fu": 0.0,
  "spacegroup": "P4/mmm, No. 123",
  "crystal_system": "tetragonal",
  "e_form_ev_per_atom": 0.030
}

Record 11
{
  "formula": "RbSbI2N",
  "functional": "PBE-GGA",
  "state": "relaxed",
  "lattice_angstrom": [[-3.620, -1.510, 5.150], [3.718, -5.186, 1.094], [2.423, 2.235, 2.359]],
  "species": ["Sb", "N", "I", "I", "Rb"],
  "frac_coords": [[0.000, 0.000, 0.000], [0.000, 0.000, 0.500], [0.500, 0.000, 0.000], [0.000, 0.500, 0.000], [0.500, 0.500, 0.500]],
  "m_tot_mub_per_fu": 0.0,
  "raw_formation_energy_mev_per_atom": -96,
  "spacegroup": "P4/mmm, No. 123",
  "crystal_system": "tetragonal"
}

Record 12
{
  "formula": "HgTeMoI2",
  "functional": "PBE-GGA",
  "state": "relaxed",
  "lattice_angstrom": [[-1.765, 2.667, -4.770], [3.161, -3.591, -3.177], [-4.073, -3.291, -0.333]],
  "species": ["Te", "I", "Mo", "Hg", "I"],
  "frac_coords": [[0.000, 0.000, 0.500], [0.500, 0.000, 0.000], [0.000, 0.000, 0.000], [0.500, 0.500, 0.500], [0.000, 0.500, 0.000]],
  "m_tot_mub_per_fu": 1.8,
  "raw_formation_energy_mev_per_atom": 242,
  "spacegroup": "P4/mmm, No. 123",
  "crystal_system": "tetragonal"
}

Record 13
{
  "formula": "HfCdPCl2",
  "functional": "PBE-GGA",
  "state": "relaxed",
  "lattice_angstrom": [[-4.011, -1.692, -2.057], [0.198, -3.897, 2.820], [-3.045, 2.596, 3.802]],
  "species": ["Cd", "Cl", "Hf", "Cl", "P"],
  "frac_coords": [[0.000, 0.000, 0.000], [0.000, 0.500, 0.000], [0.500, 0.500, 0.500], [0.500, 0.000, 0.000], [0.000, 0.000, 0.500]],
  "m_tot_mub_per_fu": 1.0,
  "raw_formation_energy_mev_per_atom": 393,
  "spacegroup": "P4/mmm, No. 123",
  "crystal_system": "tetragonal"
}

| no. | raw total energy (eV per formula unit) |
| --- | --- |
| 1 | -16.8 |
| 2 | -39.0 |
| 3 | -87.1 |
| 4 | -14.8 |
| 5 | -23.0 |
| 6 | -41.9 |
| 7 | -15.0 |
| 8 | -14.3 |
| 9 | -22.7 |
| 10 | -38.8 |
| 11 | -17.0 |
| 12 | -16.2 |
| 13 | -18.0 |